1.
DFT (PBE-GGA) results for a geometry-optimized Ni3Rh structure.

Cell: 4.428 4.428 10.240 Å, 149.96 149.96 34.20°
Sites, in units of the cell vectors:
Ni 0.991 0.991 0.994
Ni 0.009 0.009 0.506
Ni 0.000 0.000 0.750
Rh 0.000 0.000 0.250

The calculation puts the formation energy at 37 meV per atom. As for the density of states at the Fermi level: 6.5 states/eV/f.u. The calculation puts the total magnetization at 0.798 μB per atom.

2.
DFT (PBE-GGA) results for a geometry-optimized Ni2Rh structure.

Cell: 3.654 5.803 3.637 Å, 71.74 90.00 90.00°
Sites, in units of the cell vectors:
Ni 0.000 0.003 0.998
Ni 0.500 0.330 0.835
Ni 0.000 0.670 0.665
Ni 0.500 0.997 0.502
Rh 0.000 0.326 0.337
Rh 0.500 0.674 0.163

The calculation puts the formation energy at 32 meV per atom. As for the density of states at the Fermi level: 5.0 states/eV/f.u. The calculation puts the total magnetization at 0.734 μB per atom.